1.
Cs2CuP2O7 at its PBEsol-relaxed geometry. Source: Alexandria via LeMat-Bulk, functional SCAN.

Lattice parameters (Å, degrees): 7.455 7.455 9.851 100.33 100.33 120.80
Atoms (fractional coordinates):
1 Cs 0.042 0.958 0.500
2 Cs 0.414 0.833 0.188
3 Cs 0.833 0.414 0.688
4 Cs 0.958 0.042 0.000
5 Cu 0.414 0.646 0.661
6 Cu 0.646 0.414 0.161
7 P 0.037 0.446 0.374
8 P 0.384 0.394 0.863
9 P 0.394 0.384 0.363
10 P 0.446 0.037 0.874
11 O 0.145 0.300 0.788
12 O 0.185 0.631 0.523
13 O 0.210 0.432 0.298
14 O 0.222 0.875 0.883
15 O 0.300 0.145 0.288
16 O 0.432 0.210 0.798
17 O 0.435 0.439 0.529
18 O 0.439 0.435 0.029
19 O 0.536 0.944 0.775
20 O 0.549 0.598 0.828
21 O 0.598 0.549 0.328
22 O 0.631 0.185 0.023
23 O 0.875 0.222 0.383
24 O 0.944 0.536 0.275

- formation energy from raw total energies (eV per atom) = -2.26

***

2.
CsCu2TcOs at its PBEsol-relaxed geometry. Source: Alexandria via LeMat-Bulk, functional SCAN.

Lattice parameters (Å, degrees): 4.728 4.728 5.005 90.00 90.00 90.00
Atoms (fractional coordinates):
1 Cs 0.000 0.000 0.000
2 Cu 0.000 0.500 0.000
3 Cu 0.500 0.000 0.000
4 Tc 0.500 0.500 0.500
5 Os 0.000 0.000 0.500

- calculated formation energy (eV per atom) = 3.23

***

3.
CsCu2P at its PBEsol-relaxed geometry. Source: Alexandria via LeMat-Bulk, functional SCAN.

Lattice parameters (Å, degrees): 5.549 5.549 13.467 90.00 90.00 90.00
Atoms (fractional coordinates):
1 Cs 0.000 0.250 0.375
2 Cs 0.000 0.750 0.625
3 Cs 0.500 0.250 0.125
4 Cs 0.500 0.750 0.875
5 Cu 0.000 0.000 0.000
6 Cu 0.000 0.500 0.000
7 Cu 0.250 0.250 0.750
8 Cu 0.250 0.750 0.250
9 Cu 0.500 0.000 0.500
10 Cu 0.500 0.500 0.500
11 Cu 0.750 0.250 0.750
12 Cu 0.750 0.750 0.250
13 P 0.000 0.250 0.875
14 P 0.000 0.750 0.125
15 P 0.500 0.250 0.625
16 P 0.500 0.750 0.375

- calculated formation energy (eV per atom) = -0.23

***

4.
CsRb2CuP at its PBEsol-relaxed geometry. Source: Alexandria via LeMat-Bulk, functional SCAN.

Lattice parameters (Å, degrees): 7.074 7.074 5.405 90.00 90.00 90.00
Atoms (fractional coordinates):
1 Cs 0.000 0.000 0.000
2 Rb 0.000 0.500 0.000
3 Rb 0.500 0.000 0.000
4 Cu 0.500 0.500 0.500
5 P 0.000 0.000 0.500

- calculated formation energy (eV per atom) = 0.80

***

5.
CsCuPb3 at its PBEsol-relaxed geometry. Source: Alexandria via LeMat-Bulk, functional SCAN.

Lattice parameters (Å, degrees): 6.116 6.116 6.116 90.00 90.00 90.00
Atoms (fractional coordinates):
1 Cs 0.000 0.000 0.000
2 Cu 0.500 0.500 0.500
3 Pb 0.000 0.000 0.500
4 Pb 0.000 0.500 0.000
5 Pb 0.500 0.000 0.000

- calculated formation energy (eV per atom) = 1.79

***

6.
CsCuSb2Pb at its PBEsol-relaxed geometry. Source: Alexandria via LeMat-Bulk, functional SCAN.

Lattice parameters (Å, degrees): 5.260 5.260 5.389 90.00 90.00 90.00
Atoms (fractional coordinates):
1 Cs 0.000 0.000 0.000
2 Cu 0.500 0.500 0.500
3 Sb 0.000 0.500 0.500
4 Sb 0.500 0.000 0.500
5 Pb 0.500 0.500 0.000

- formation energy from raw total energies (eV per atom) = 0.12

***

7.
Cs2CuSnPd at its PBEsol-relaxed geometry. Source: Alexandria via LeMat-Bulk, functional SCAN.

Lattice parameters (Å, degrees): 6.083 6.083 4.905 90.00 90.00 90.00
Atoms (fractional coordinates):
1 Cs 0.000 0.500 0.000
2 Cs 0.500 0.000 0.000
3 Cu 0.000 0.000 0.000
4 Sn 0.000 0.000 0.500
5 Pd 0.500 0.500 0.500

- calculated formation energy (eV per atom) = 0.48

***

8.
CsCuPtSe2 at its PBEsol-relaxed geometry. Source: Alexandria via LeMat-Bulk, functional SCAN.

Lattice parameters (Å, degrees): 4.709 4.709 5.505 90.00 90.00 90.00
Atoms (fractional coordinates):
1 Cs 0.000 0.000 0.000
2 Cu 0.000 0.000 0.500
3 Pt 0.500 0.500 0.000
4 Se 0.000 0.500 0.500
5 Se 0.500 0.000 0.500

- formation energy from raw total energies (eV per atom) = 0.67

***

9.
Cs2RbCu2 at its PBEsol-relaxed geometry. Source: Alexandria via LeMat-Bulk, functional SCAN.

Lattice parameters (Å, degrees): 5.405 5.405 14.181 90.00 90.00 90.00
Atoms (fractional coordinates):
1 Cs 0.000 0.500 0.250
2 Cs 0.000 0.500 0.750
3 Cs 0.500 0.000 0.250
4 Cs 0.500 0.000 0.750
5 Rb 0.000 0.000 0.000
6 Rb 0.500 0.500 0.500
7 Cu 0.000 0.000 0.416
8 Cu 0.000 0.000 0.584
9 Cu 0.500 0.500 0.084
10 Cu 0.500 0.500 0.916

- calculated formation energy (eV per atom) = 0.48

***

10.
CsRb2SrCu at its PBEsol-relaxed geometry. Source: Alexandria via LeMat-Bulk, functional SCAN.

Lattice parameters (Å, degrees): 7.590 7.590 5.865 90.00 90.00 90.00
Atoms (fractional coordinates):
1 Cs 0.000 0.000 0.000
2 Rb 0.000 0.500 0.000
3 Rb 0.500 0.000 0.000
4 Sr 0.500 0.500 0.500
5 Cu 0.000 0.000 0.500

- calculated formation energy (eV per atom) = 0.66

***

11.
Cs3CuRu at its PBEsol-relaxed geometry. Source: Alexandria via LeMat-Bulk, functional SCAN.

Lattice parameters (Å, degrees): 6.335 6.335 6.335 90.00 90.00 90.00
Atoms (fractional coordinates):
1 Cs 0.000 0.000 0.500
2 Cs 0.000 0.500 0.000
3 Cs 0.500 0.000 0.000
4 Cu 0.000 0.000 0.000
5 Ru 0.500 0.500 0.500

- calculated formation energy (eV per atom) = 1.12

***

12.
CsCu2SbRu at its PBEsol-relaxed geometry. Source: Alexandria via LeMat-Bulk, functional SCAN.

Lattice parameters (Å, degrees): 4.923 4.923 4.947 90.00 90.00 90.00
Atoms (fractional coordinates):
1 Cs 0.000 0.000 0.000
2 Cu 0.000 0.500 0.000
3 Cu 0.500 0.000 0.000
4 Sb 0.500 0.500 0.500
5 Ru 0.000 0.000 0.500

- formation energy from raw total energies (eV per atom) = 2.19